1.
Density functional theory data (PBE) for LaTbCoAg after structural relaxation.

Lattice parameters (Å, degrees): 5.0900 5.0900 5.0900 60.00 60.00 60.00
Atoms (fractional coordinates):
Co 0.0000 0.0000 0.0000
Tb 0.7500 0.7500 0.7500
Ag 0.5000 0.5000 0.5000
La 0.2500 0.2500 0.2500

The calculation puts the total DFT energy (no corrections) at -4.9719 eV/atom. Its energy of formation from the pure elements is -0.09 eV per atom.

=====

2.
Density functional theory data (PBE) for CePu3Hg4 after structural relaxation.

Lattice parameters (Å, degrees): 3.2904 3.2904 18.7742 90.00 90.00 90.00
Atoms (fractional coordinates):
Hg 0.0000 0.0000 0.8745
Hg 0.0000 0.0000 0.1255
Hg 0.0000 0.0000 0.3753
Hg 0.0000 0.0000 0.6247
Ce 0.5000 0.5000 0.0000
Pu 0.5000 0.5000 0.2501
Pu 0.5000 0.5000 0.5000
Pu 0.5000 0.5000 0.7499

The calculation puts the total DFT energy (no corrections) at -6.4387 eV/atom. Its energy of formation from the pure elements is -0.17 eV per atom.

=====

3.
Density functional theory data (PBE) for MnTe2Au after structural relaxation.

Lattice parameters (Å, degrees): 7.4284 4.5831 7.9043 102.21 124.42 96.34
Atoms (fractional coordinates):
Au 0.8110 0.1924 0.2443
Au 0.9976 0.0739 0.6314
Mn 0.8833 0.7605 0.8408
Mn 0.1625 0.4309 0.0879
Te 0.1658 0.0047 0.2830
Te 0.6937 0.2302 0.8473
Te 0.6299 0.5502 0.3934
Te 0.2615 0.6691 0.8600

The calculation puts the formation energy without anion corrections at -0.052 eV/atom. The energy above the lowest structure with this stoichiometry is 15 kJ/mol of formula units. The calculation puts the total DFT energy (no corrections) at -4.7348 eV/atom.

=====

4.
Density functional theory data (PBE) for FeCoCl2 after structural relaxation.

Lattice parameters (Å, degrees): 3.0838 3.0841 6.1433 90.00 90.00 90.00
Atoms (fractional coordinates):
Co 0.5000 0.5000 0.2500
Fe 0.5000 0.5000 0.7500
Cl 0.0000 0.0000 0.9994
Cl 0.0000 0.0000 0.5006

The calculation puts the formation energy without anion corrections at 0.431 eV/atom. The calculation puts the total DFT energy (no corrections) at -4.3848 eV/atom.